Compound: La7TlCl12
Source: the Alexandria database
Functional: PBE
Structure: relaxed

Properties
crystal system: trigonal
theoretical density: 4.1 g/cm³
total magnetic moment: 1.71 Bohr magnetons per cell
ΔE_f (raw): -1.93 eV per atom

a b c (Å): 9.584 9.584 9.584
angles (deg): 110.43 110.43 110.43
Atoms (fractional coordinates):
La (0.000, 0.000, 0.000)
La (0.123, 0.433, 0.334)
La (0.334, 0.123, 0.433)
La (0.433, 0.334, 0.123)
La (0.567, 0.666, 0.877)
La (0.666, 0.877, 0.567)
La (0.877, 0.567, 0.666)
Tl (0.500, 0.500, 0.500)
Cl (0.006, 0.109, 0.333)
Cl (0.109, 0.333, 0.006)
Cl (0.204, 0.586, 0.702)
Cl (0.298, 0.796, 0.414)
Cl (0.333, 0.006, 0.109)
Cl (0.414, 0.298, 0.796)
Cl (0.586, 0.702, 0.204)
Cl (0.667, 0.994, 0.891)
Cl (0.702, 0.204, 0.586)
Cl (0.796, 0.414, 0.298)
Cl (0.891, 0.667, 0.994)
Cl (0.994, 0.891, 0.667)



Compound: Hf2ZrTiC
Source: the Alexandria database
Functional: PBE
Structure: relaxed

Properties
crystal system: tetragonal
theoretical density: 9.3 g/cm³
total magnetic moment: 0.00 Bohr magnetons per cell
ΔE_f: -258 meV/atom

a b c (Å): 4.619 4.619 4.229
angles (deg): 90.00 90.00 90.00
Atoms (fractional coordinates):
Hf (0.000, 0.500, 0.000)
Hf (0.500, 0.000, 0.000)
Zr (0.000, 0.000, 0.500)
Ti (0.500, 0.500, 0.500)
C (0.500, 0.500, 0.000)